The following is a DFT calculation (PBE with a Hubbard U) of V3H5O8 after structural relaxation.

crystal system: monoclinic
total energy: -103.95 eV for the cell shown
symmetry: Cm, No. 8
M_tot: 4.0 μB per formula unit
density: 3.387 Mg/m³

```
V3H5O8
1.0
1.556 9.706 0.021
-1.556 9.706 0.021
0.000 1.202 4.643
V H O
3 5 8
direct
0.001 0.001 0.485
0.820 0.820 0.376
0.180 0.180 0.621
0.583 0.583 0.095
0.495 0.495 0.961
0.413 0.413 0.909
0.313 0.313 0.921
0.688 0.688 0.070
0.530 0.530 0.203
0.468 0.468 0.797
0.906 0.906 0.425
0.093 0.093 0.578
0.340 0.340 0.077
0.662 0.662 0.911
0.718 0.718 0.353
0.283 0.283 0.640
```